Density functional theory data (PBE) for YRe2SeO after structural relaxation.

Lattice parameters (Å, degrees): 4.0955 4.0955 4.8423 90.00 90.00 90.00
Space group P4/mmm (No. 123)
Inequivalent atoms, fractional coordinates:
Y (0.0000, 0.0000, 0.0000) x1
Re (0.0000, 0.5000, 0.5000) x2
Se (0.5000, 0.5000, 0.0000) x1
O (0.0000, 0.0000, 0.5000) x1

Output
D(E_F), states/eV/cell: 4.92
Calculated density, Mg/m³: 11.37
Final energy, eV per atom: -8.04